[1]
Here is crystalline ZnFePbF6 at its relaxed geometry from the Alexandria database. Energies are from PBE+U.

```
data_ZnFePbF6
_chemical_formula_sum 'Zn2 Fe2 Pb2 F12'
_space_group_name_H-M_alt 'P 1'
_space_group_IT_number 1
_cell_length_a 5.498
_cell_length_b 5.498
_cell_length_c 10.519
_cell_angle_alpha 90.00
_cell_angle_beta 90.00
_cell_angle_gamma 120.00
loop_
_space_group_symop_operation_xyz
'x,y,z'
loop_
_atom_site_label
_atom_site_type_symbol
_atom_site_fract_x
_atom_site_fract_y
_atom_site_fract_z
Zn1 Zn 0.667 0.333 0.250
Zn2 Zn 0.333 0.667 0.750
Fe1 Fe 0.333 0.667 0.250
Fe2 Fe 0.667 0.333 0.750
Pb1 Pb 0.000 0.000 0.000
Pb2 Pb 0.000 0.000 0.500
F1 F 0.638 0.634 0.143
F2 F 0.996 0.362 0.143
F3 F 0.362 0.996 0.643
F4 F 0.004 0.638 0.857
F5 F 0.366 0.362 0.357
F6 F 0.996 0.634 0.357
F7 F 0.634 0.996 0.857
F8 F 0.638 0.004 0.357
F9 F 0.004 0.366 0.643
F10 F 0.366 0.004 0.143
F11 F 0.634 0.638 0.643
F12 F 0.362 0.366 0.857
```

Values from the calculation:
D(E_F) = 14.421 states/eV/cell
electronic total energy = -84.56 eV/cell
total moment = 8.00 Bohr magnetons per cell
volume = 15.30 Å³ per atom



[2]
Here is crystalline FePdF3 at its relaxed geometry from the Alexandria database. Energies are from PBE+U.

```
data_FePdF3
_chemical_formula_sum 'Fe1 Pd1 F3'
_space_group_name_H-M_alt 'P 1'
_space_group_IT_number 1
_cell_length_a 4.250
_cell_length_b 4.250
_cell_length_c 4.250
_cell_angle_alpha 90.00
_cell_angle_beta 90.00
_cell_angle_gamma 90.00
loop_
_space_group_symop_operation_xyz
'x,y,z'
loop_
_atom_site_label
_atom_site_type_symbol
_atom_site_fract_x
_atom_site_fract_y
_atom_site_fract_z
Fe1 Fe 0.500 0.500 0.500
Pd1 Pd 0.000 0.000 0.000
F1 F 0.000 0.500 0.000
F2 F 0.000 0.000 0.500
F3 F 0.500 0.000 0.000
```

Values from the calculation:
D(E_F) = 9.367 states/eV/cell
total moment = 3.37 Bohr magnetons per cell
distance to the lowest polymorph of the same formula = 576.9 meV per atom
volume = 15.35 Å³ per atom



[3]
Here is crystalline FePd2F8 at its relaxed geometry from the Alexandria database. Energies are from PBE+U.

```
data_FePd2F8
_chemical_formula_sum 'Fe1 Pd2 F8'
_space_group_name_H-M_alt 'P 1'
_space_group_IT_number 1
_cell_length_a 4.947
_cell_length_b 6.693
_cell_length_c 5.632
_cell_angle_alpha 126.46
_cell_angle_beta 85.55
_cell_angle_gamma 90.00
loop_
_space_group_symop_operation_xyz
'x,y,z'
loop_
_atom_site_label
_atom_site_type_symbol
_atom_site_fract_x
_atom_site_fract_y
_atom_site_fract_z
Fe1 Fe 0.000 0.000 0.000
Pd1 Pd 0.242 0.380 0.759
Pd2 Pd 0.758 0.620 0.241
F1 F 0.267 0.595 0.189
F2 F 0.733 0.405 0.811
F3 F 0.772 0.913 0.227
F4 F 0.242 0.157 0.314
F5 F 0.228 0.686 0.773
F6 F 0.228 0.087 0.773
F7 F 0.758 0.843 0.686
F8 F 0.772 0.314 0.227
```

Values from the calculation:
D(E_F) = 2.615 states/eV/cell
electronic total energy = -48.69 eV/cell
total moment = 4.50 Bohr magnetons per cell
volume = 13.57 Å³ per atom